1.
Entry from Alexandria: an optimized crystal structure of Y4TlPbN (PBE-GGA).

Results
As for the space-group type: Cmcm (63). The calculation puts the size of the total moment at 0.00 μB/f.u. The value obtained for the uncorrected formation energy is -822 meV/atom.

abc: 6.690 6.691 8.746
angles: 90.00 112.49 90.00
Atoms (fractional coordinates):
Y 0.913 0.250 0.826
Y 0.409 0.750 0.818
Y 0.087 0.750 0.174
Y 0.591 0.250 0.182
Y 0.500 0.500 0.500
Y 0.000 0.000 0.500
Y 0.500 0.000 0.500
Y 0.000 0.500 0.500
Tl 0.110 0.250 0.219
Tl 0.890 0.750 0.781
Pb 0.606 0.750 0.213
Pb 0.394 0.250 0.787
N 0.252 0.750 0.503
N 0.748 0.250 0.497

2.
Entry from Alexandria: an optimized crystal structure of Tb8Ge3Te4As (PBE-GGA).

Results
As for the space-group type: R-3m (166). The calculation puts the size of the total moment at 0.00 μB/f.u. The value obtained for the uncorrected formation energy is -1292 meV/atom.

abc: 8.500 8.639 8.500
angles: 119.47 120.00 90.00
Atoms (fractional coordinates):
Tb 0.241 0.720 0.979
Tb 0.241 0.720 0.483
Tb 0.259 0.278 0.519
Tb 0.737 0.720 0.979
Tb 0.263 0.280 0.021
Tb 0.741 0.722 0.481
Tb 0.759 0.280 0.517
Tb 0.759 0.280 0.021
Ge 0.500 0.500 0.000
Ge 0.500 0.500 0.500
Ge 0.000 0.500 0.500
Te 0.500 0.000 0.000
Te 0.500 0.000 0.500
Te 0.000 0.000 0.000
Te 0.000 0.000 0.500
As 0.000 0.500 0.000

Sequential E output: -6.5727, -5.5491 eV per atom
Sequential V output: 361.7, 444.9 Å³ per cell